Entry 1:
Compound: RbBaH
Source: Alexandria
Functional: PBE
Structure: optimized geometry

crystal system	monoclinic

Cell and atoms, written as CIF:
```
data_RbBaH
_symmetry_space_group_name_H-M 'P 1'
_symmetry_Int_Tables_number 1
_symmetry_space_group_name_Hall 'P 1'
_cell_length_a 8.184
_cell_length_b 8.184
_cell_length_c 8.248
_cell_angle_alpha 97.80
_cell_angle_beta 97.80
_cell_angle_gamma 32.14
loop_
_atom_site_label
_atom_site_type_symbol
_atom_site_fract_x
_atom_site_fract_y
_atom_site_fract_z
Rb1 Rb 0.000 0.000 0.000
Rb2 Rb 0.502 0.498 0.500
Ba1 Ba 0.254 0.257 0.785
Ba2 Ba 0.743 0.746 0.215
H1 H 0.198 0.201 0.069
H2 H 0.799 0.802 0.931
```


Entry 2:
Compound: Ba2SmYSe4
Source: Alexandria
Functional: PBE
Structure: optimized geometry

E_form (uncorrected)	-1.90	eV/atom
crystal system	monoclinic

Cell and atoms, written as CIF:
```
data_Ba2SmYSe4
_symmetry_space_group_name_H-M 'P 1'
_symmetry_Int_Tables_number 1
_symmetry_space_group_name_Hall 'P 1'
_cell_length_a 7.483
_cell_length_b 4.330
_cell_length_c 7.809
_cell_angle_alpha 90.00
_cell_angle_beta 108.71
_cell_angle_gamma 90.00
loop_
_atom_site_label
_atom_site_type_symbol
_atom_site_fract_x
_atom_site_fract_y
_atom_site_fract_z
Ba1 Ba 0.000 0.000 0.000
Ba2 Ba 0.500 0.500 0.000
Sm1 Sm 0.000 0.500 0.500
Y1 Y 0.500 0.000 0.500
Se1 Se 0.243 0.000 0.717
Se2 Se 0.266 0.500 0.286
Se3 Se 0.734 0.500 0.714
Se4 Se 0.757 0.000 0.283
```


Entry 3:
Compound: GaOsPd3
Source: Alexandria
Functional: PBE
Structure: optimized geometry

formation energy	1.15	eV per atom
crystal system	cubic

Cell and atoms, written as CIF:
```
data_GaOsPd3
_symmetry_space_group_name_H-M 'P 1'
_symmetry_Int_Tables_number 1
_symmetry_space_group_name_Hall 'P 1'
_cell_length_a 4.842
_cell_length_b 4.842
_cell_length_c 4.842
_cell_angle_alpha 90.00
_cell_angle_beta 90.00
_cell_angle_gamma 90.00
loop_
_atom_site_label
_atom_site_type_symbol
_atom_site_fract_x
_atom_site_fract_y
_atom_site_fract_z
Ga1 Ga 0.000 0.000 0.000
Os1 Os 0.500 0.500 0.500
Pd1 Pd 0.000 0.500 0.500
Pd2 Pd 0.500 0.000 0.500
Pd3 Pd 0.500 0.500 0.000
```


Entry 4:
Compound: Dy4Er5Tm3
Source: Alexandria
Functional: PBE
Structure: optimized geometry

formation energy	0.02	eV per atom
crystal system	triclinic

Cell and atoms, written as CIF:
```
data_Dy4Er5Tm3
_symmetry_space_group_name_H-M 'P 1'
_symmetry_Int_Tables_number 1
_symmetry_space_group_name_Hall 'P 1'
_cell_length_a 6.068
_cell_length_b 7.018
_cell_length_c 8.577
_cell_angle_alpha 89.98
_cell_angle_beta 89.97
_cell_angle_gamma 89.91
loop_
_atom_site_label
_atom_site_type_symbol
_atom_site_fract_x
_atom_site_fract_y
_atom_site_fract_z
Dy1 Dy 0.167 0.000 0.333
Dy2 Dy 0.333 0.749 0.667
Dy3 Dy 0.667 0.251 0.333
Dy4 Dy 0.833 0.000 0.667
Er1 Er 0.001 0.251 0.000
Er2 Er 0.167 0.500 0.333
Er3 Er 0.500 0.000 0.000
Er4 Er 0.833 0.500 0.667
Er5 Er 0.999 0.749 0.000
Tm1 Tm 0.333 0.250 0.667
Tm2 Tm 0.500 0.500 0.000
Tm3 Tm 0.667 0.750 0.333
```


Entry 5:
Compound: Pm2ErP2N6
Source: Alexandria
Functional: PBE
Structure: optimized geometry

E_form (uncorrected)	-0.97	eV/atom
crystal system	trigonal

Cell and atoms, written as CIF:
```
data_Pm2ErP2N6
_symmetry_space_group_name_H-M 'P 1'
_symmetry_Int_Tables_number 1
_symmetry_space_group_name_Hall 'P 1'
_cell_length_a 6.663
_cell_length_b 6.663
_cell_length_c 6.663
_cell_angle_alpha 49.24
_cell_angle_beta 49.24
_cell_angle_gamma 49.24
loop_
_atom_site_label
_atom_site_type_symbol
_atom_site_fract_x
_atom_site_fract_y
_atom_site_fract_z
Pm1 Pm 0.207 0.207 0.207
Pm2 Pm 0.793 0.793 0.793
Er1 Er 0.000 0.000 0.000
P1 P 0.413 0.413 0.413
P2 P 0.587 0.587 0.587
N1 N 0.246 0.737 0.737
N2 N 0.263 0.263 0.754
N3 N 0.263 0.754 0.263
N4 N 0.737 0.246 0.737
N5 N 0.737 0.737 0.246
N6 N 0.754 0.263 0.263
```


Magnetization for every record listed, in sequence, given in μB per cell: 0.0; 0.0; 0.0; 0.0; 1.0.
D(E_F) for every record listed, in sequence, given in states/eV per atom: 0.885; 0.474; 1.130; 1.309; 0.197.
VASP energy for every record listed, in sequence, given in eV/atom: -2.215; -5.517; -4.819; -4.531; -7.769.